[1]
Pm6Pb2C | PBE | optimized geometry

As for the energy relative to the elements: -0.38 eV/atom. Its total energy is -5.39 eV/atom. The value obtained for the size of the total moment is 0.00 μB/f.u.

Geometry as CIF:
```
data_Pm6Pb2C
_space_group_name_H-M_alt 'I 4/m m m'
_space_group_IT_number 139
_space_group_name_Hall '-I 4 2'
_cell_length_a 7.148
_cell_length_b 7.148
_cell_length_c 10.137
_cell_angle_alpha 90.00
_cell_angle_beta 90.00
_cell_angle_gamma 90.00
loop_
_atom_site_label
_atom_site_type_symbol
_atom_site_fract_x
_atom_site_fract_y
_atom_site_fract_z
Pm1 Pm 0.000 0.000 0.245
Pm2 Pm 0.245 0.245 0.000
Pb1 Pb 0.000 0.500 0.250
C1 C 0.000 0.000 0.000
```

[2]
Cs2VBr | PBE | optimized geometry

Its total energy is -2.93 eV/atom. The value obtained for the size of the total moment is 3.99 μB/f.u.

Geometry as CIF:
```
data_Cs2VBr
_space_group_name_H-M_alt 'I -4 2 d'
_space_group_IT_number 122
_space_group_name_Hall 'I -4 2bw'
_cell_length_a 9.985
_cell_length_b 9.985
_cell_length_c 10.184
_cell_angle_alpha 90.00
_cell_angle_beta 90.00
_cell_angle_gamma 90.00
loop_
_atom_site_label
_atom_site_type_symbol
_atom_site_fract_x
_atom_site_fract_y
_atom_site_fract_z
Cs1 Cs 0.209 0.250 0.125
V1 V 0.000 0.000 0.500
Br1 Br 0.000 0.000 0.000
```

[3]
La2SO | PBE | optimized geometry

Its total energy is -6.98 eV/atom. The value obtained for the size of the total moment is 0.00 μB/f.u.

Geometry as CIF:
```
data_La2SO
_space_group_name_H-M_alt 'R 3 m'
_space_group_IT_number 160
_space_group_name_Hall 'R 3 -2"'
_cell_length_a 3.7937
_cell_length_b 3.7937
_cell_length_c 20.6168
_cell_angle_alpha 90.00
_cell_angle_beta 90.00
_cell_angle_gamma 120.00
loop_
_atom_site_label
_atom_site_type_symbol
_atom_site_fract_x
_atom_site_fract_y
_atom_site_fract_z
La1 La 0.0000 0.0000 0.0000
La2 La 0.0000 0.0000 0.1597
S1 S 0.0000 0.0000 0.5799
O1 O 0.0000 0.0000 0.4100
```

[4]
PuTaAs | PBE | optimized geometry

As for the energy relative to the elements: -0.11 eV/atom. Its total energy is -10.39 eV/atom. The value obtained for the size of the total moment is 4.95 μB/f.u.

Geometry as CIF:
```
data_PuTaAs
_space_group_name_H-M_alt 'P -6 m 2'
_space_group_IT_number 187
_space_group_name_Hall 'P -6 2'
_cell_length_a 4.4931
_cell_length_b 4.4931
_cell_length_c 3.6105
_cell_angle_alpha 90.00
_cell_angle_beta 90.00
_cell_angle_gamma 120.00
loop_
_atom_site_label
_atom_site_type_symbol
_atom_site_fract_x
_atom_site_fract_y
_atom_site_fract_z
Pu1 Pu 0.0000 0.0000 0.0000
Ta1 Ta 0.3333 0.6667 0.5000
As1 As 0.6667 0.3333 0.5000
```

[5]
MnBeTl2 | PBE | optimized geometry

As for the energy relative to the elements: 0.71 eV/atom. Its total energy is -3.69 eV/atom. The value obtained for the size of the total moment is 3.94 μB/f.u.

Geometry as CIF:
```
data_MnBeTl2
_space_group_name_H-M_alt 'I m m m'
_space_group_IT_number 71
_space_group_name_Hall '-I 2 2'
_cell_length_a 3.229
_cell_length_b 5.698
_cell_length_c 8.963
_cell_angle_alpha 90.00
_cell_angle_beta 90.00
_cell_angle_gamma 90.00
loop_
_atom_site_label
_atom_site_type_symbol
_atom_site_fract_x
_atom_site_fract_y
_atom_site_fract_z
Mn1 Mn 0.000 0.000 0.000
Be1 Be 0.000 0.000 0.500
Tl1 Tl 0.000 0.500 0.230
```

[6]
MnCrTcPd | PBE | optimized geometry

As for the energy relative to the elements: 0.06 eV/atom. Its total energy is -8.53 eV/atom. The value obtained for the size of the total moment is 5.60 μB/f.u.

Geometry as CIF:
```
data_MnCrTcPd
_space_group_name_H-M_alt 'P 4 m m'
_space_group_IT_number 99
_space_group_name_Hall 'P 4 -2'
_cell_length_a 3.080
_cell_length_b 3.080
_cell_length_c 6.001
_cell_angle_alpha 90.00
_cell_angle_beta 90.00
_cell_angle_gamma 90.00
loop_
_atom_site_label
_atom_site_type_symbol
_atom_site_fract_x
_atom_site_fract_y
_atom_site_fract_z
Mn1 Mn 0.000 0.000 0.000
Cr1 Cr 0.000 0.000 0.479
Tc1 Tc 0.500 0.500 0.254
Pd1 Pd 0.500 0.500 0.749
```

[7]
BeAlCl2 | PBE | optimized geometry

Its total energy is -3.34 eV/atom. The value obtained for the size of the total moment is 0.00 μB/f.u.

Geometry as CIF:
```
data_BeAlCl2
_space_group_name_H-M_alt 'C m m 2'
_space_group_IT_number 35
_space_group_name_Hall 'C 2 -2'
_cell_length_a 3.146
_cell_length_b 6.217
_cell_length_c 8.897
_cell_angle_alpha 90.00
_cell_angle_beta 90.00
_cell_angle_gamma 90.00
loop_
_atom_site_label
_atom_site_type_symbol
_atom_site_fract_x
_atom_site_fract_y
_atom_site_fract_z
Be1 Be 0.000 0.000 0.000
Al1 Al 0.000 0.500 0.218
Cl1 Cl 0.000 0.000 0.417
Cl2 Cl 0.000 0.500 0.851
```

[8]
DyTmCdRh | PBE | optimized geometry

As for the energy relative to the elements: -0.55 eV/atom. Its total energy is -4.88 eV/atom. The value obtained for the size of the total moment is 0.00 μB/f.u.

Geometry as CIF:
```
data_DyTmCdRh
_space_group_name_H-M_alt 'F -4 3 m'
_space_group_IT_number 216
_space_group_name_Hall 'F -4 2 3'
_cell_length_a 7.098
_cell_length_b 7.098
_cell_length_c 7.098
_cell_angle_alpha 90.00
_cell_angle_beta 90.00
_cell_angle_gamma 90.00
loop_
_atom_site_label
_atom_site_type_symbol
_atom_site_fract_x
_atom_site_fract_y
_atom_site_fract_z
Dy1 Dy 0.000 0.000 0.000
Tm1 Tm 0.000 0.000 0.500
Cd1 Cd 0.250 0.250 0.750
Rh1 Rh 0.250 0.250 0.250
```

[9]
ScCdGe2Sb | PBE | optimized geometry

Its total energy is -3.53 eV/atom. The value obtained for the size of the total moment is 0.00 μB/f.u.

Geometry as CIF:
```
data_ScCdGe2Sb
_space_group_name_H-M_alt 'P 4/m m m'
_space_group_IT_number 123
_space_group_name_Hall '-P 4 2'
_cell_length_a 4.998
_cell_length_b 4.998
_cell_length_c 5.495
_cell_angle_alpha 90.00
_cell_angle_beta 90.00
_cell_angle_gamma 90.00
loop_
_atom_site_label
_atom_site_type_symbol
_atom_site_fract_x
_atom_site_fract_y
_atom_site_fract_z
Sc1 Sc 0.000 0.000 0.000
Cd1 Cd 0.000 0.000 0.500
Ge1 Ge 0.000 0.500 0.500
Sb1 Sb 0.500 0.500 0.000
```

[10]
Ni2HgW | PBE | optimized geometry

As for the energy relative to the elements: 0.36 eV/atom. Its total energy is -5.84 eV/atom. The value obtained for the size of the total moment is 0.00 μB/f.u.

Geometry as CIF:
```
data_Ni2HgW
_space_group_name_H-M_alt 'C 1 m 1'
_space_group_IT_number 8
_space_group_name_Hall 'C -2y'
_cell_length_a 9.376
_cell_length_b 2.744
_cell_length_c 4.650
_cell_angle_alpha 90.00
_cell_angle_beta 104.72
_cell_angle_gamma 90.00
loop_
_atom_site_label
_atom_site_type_symbol
_atom_site_fract_x
_atom_site_fract_y
_atom_site_fract_z
Ni1 Ni 0.000 0.000 0.000
Ni2 Ni 0.220 0.500 0.303
Hg1 Hg 0.242 0.000 0.814
W1 W 0.464 0.000 0.461
```

[11]
La3YBi2 | PBE | optimized geometry

As for the energy relative to the elements: -0.47 eV/atom. Its total energy is -5.31 eV/atom. The value obtained for the size of the total moment is 0.46 μB/f.u.

Geometry as CIF:
```
data_La3YBi2
_space_group_name_H-M_alt 'I b a m'
_space_group_IT_number 72
_space_group_name_Hall '-I 2 2c'
_cell_length_a 7.233
_cell_length_b 15.110
_cell_length_c 8.376
_cell_angle_alpha 90.00
_cell_angle_beta 90.00
_cell_angle_gamma 90.00
loop_
_atom_site_label
_atom_site_type_symbol
_atom_site_fract_x
_atom_site_fract_y
_atom_site_fract_z
La1 La 0.000 0.000 0.250
La2 La 0.000 0.299 0.250
Y1 Y 0.000 0.500 0.000
Bi1 Bi 0.167 0.146 0.000
```

[12]
CaEuInPt | PBE | optimized geometry

As for the energy relative to the elements: -0.58 eV/atom. Its total energy is -5.84 eV/atom. The value obtained for the size of the total moment is 6.98 μB/f.u.

Geometry as CIF:
```
data_CaEuInPt
_space_group_name_H-M_alt 'F -4 3 m'
_space_group_IT_number 216
_space_group_name_Hall 'F -4 2 3'
_cell_length_a 7.407
_cell_length_b 7.407
_cell_length_c 7.407
_cell_angle_alpha 90.00
_cell_angle_beta 90.00
_cell_angle_gamma 90.00
loop_
_atom_site_label
_atom_site_type_symbol
_atom_site_fract_x
_atom_site_fract_y
_atom_site_fract_z
Ca1 Ca 0.000 0.000 0.000
Eu1 Eu 0.000 0.000 0.500
In1 In 0.250 0.250 0.250
Pt1 Pt 0.250 0.250 0.750
```